[1]
Compound: GaRu
Source: Alexandria via LeMat-Bulk
Functional: PBE-GGA
Structure: relaxed

E_tot, eV per atom: -5.140

Cell lengths 5.5719, 5.5719, 5.5719 Å; angles 90.00, 90.00, 90.00 degrees
Last column: magnetic moment on the atom in μB.
Sites, in units of the cell vectors:
Ga1 0.7500 0.7500 0.2500  0.00
Ga2 0.2500 0.2500 0.2500  0.00
Ga3 0.7500 0.2500 0.7500  0.00
Ga4 0.2500 0.7500 0.7500  0.00
Ru1 0.0000 0.5000 0.5000  0.86
Ru2 0.5000 0.5000 0.0000  0.86
Ru3 0.5000 0.0000 0.5000  0.86
Ru4 0.0000 0.0000 0.0000  0.86

---

[2]
Compound: GaRu
Source: Alexandria via LeMat-Bulk
Functional: PBE-GGA
Structure: relaxed

E_tot, eV per atom: -6.189

Cell lengths 7.7168, 7.7168, 4.3270 Å; angles 90.00, 90.00, 90.00 degrees
Sites, in units of the cell vectors:
Ga1 0.2622 0.0000 0.5000
Ga2 0.0000 0.7378 0.5000
Ga3 0.5000 0.2378 0.0000
Ga4 0.5000 0.7622 0.0000
Ga5 0.2378 0.5000 0.0000
Ga6 0.7622 0.5000 0.0000
Ga7 0.0000 0.2622 0.5000
Ga8 0.7378 0.0000 0.5000
Ru1 0.6654 0.6654 0.5000
Ru2 0.1654 0.8346 0.0000
Ru3 0.8346 0.1654 0.0000
Ru4 0.1654 0.1654 0.0000
Ru5 0.3346 0.3346 0.5000
Ru6 0.3346 0.6654 0.5000
Ru7 0.6654 0.3346 0.5000
Ru8 0.8346 0.8346 0.0000

---

[3]
Compound: GaRu
Source: Alexandria via LeMat-Bulk
Functional: PBE-GGA
Structure: relaxed

E_tot, eV per atom: -5.140

Cell lengths 6.8282, 6.8282, 6.8282 Å; angles 90.00, 90.00, 90.00 degrees
Last column: magnetic moment on the atom in μB.
Sites, in units of the cell vectors:
Ru1 0.7500 0.5000 0.0000  0.77
Ru2 0.5000 0.0000 0.7500  0.77
Ru3 0.0000 0.7500 0.5000  0.77
Ru4 0.5000 0.0000 0.2500  0.77
Ru5 0.0000 0.2500 0.5000  0.77
Ru6 0.2500 0.5000 0.0000  0.77
Ga1 0.2500 0.0000 0.5000  -0.05
Ga2 0.5000 0.7500 0.0000  -0.05
Ga3 0.7500 0.0000 0.5000  -0.05
Ga4 0.5000 0.2500 0.0000  -0.05
Ga5 0.0000 0.5000 0.7500  -0.05
Ga6 0.0000 0.5000 0.2500  -0.05

---

[4]
Compound: GaRu
Source: Alexandria via LeMat-Bulk
Functional: PBE-GGA
Structure: relaxed

E_tot, eV per atom: -6.406

Cell lengths 4.3865, 2.9103, 9.4438 Å; angles 90.00, 108.67, 90.00 degrees
Sites, in units of the cell vectors:
Ga1 0.6991 0.5000 0.8854
Ga2 0.6991 0.0000 0.3854
Ga3 0.3009 0.5000 0.1146
Ga4 0.3009 0.0000 0.6146
Ru1 0.8053 0.5000 0.6325
Ru2 0.1947 0.0000 0.8675
Ru3 0.8053 0.0000 0.1325
Ru4 0.1947 0.5000 0.3675

---

[5]
Compound: GaRu
Source: Alexandria via LeMat-Bulk
Functional: PBE-GGA
Structure: relaxed

E_tot, eV per atom: -6.043

Cell lengths 7.8957, 14.5397, 4.3098 Å; angles 90.00, 90.00, 90.00 degrees
Sites, in units of the cell vectors:
Ga1 0.3384 0.5000 0.0000
Ga2 0.5884 0.7500 0.7500
Ga3 0.9116 0.2500 0.2500
Ga4 0.0884 0.7500 0.2500
Ga5 0.1616 0.5000 0.5000
Ga6 0.0884 0.2500 0.7500
Ga7 0.4116 0.7500 0.2500
Ga8 0.8384 0.0000 0.0000
Ga9 0.6616 0.5000 0.0000
Ga10 0.3384 0.0000 0.5000
Ga11 0.4116 0.2500 0.7500
Ga12 0.5884 0.2500 0.2500
Ga13 0.9116 0.7500 0.7500
Ga14 0.8384 0.5000 0.5000
Ga15 0.6616 0.0000 0.5000
Ga16 0.1616 0.0000 0.0000
Ru1 0.2500 0.6643 0.7500
Ru2 0.2500 0.3357 0.2500
Ru3 0.0000 0.0857 0.5000
Ru4 0.7500 0.3357 0.7500
Ru5 0.7500 0.6643 0.2500
Ru6 0.0000 0.4143 0.0000
Ru7 0.0000 0.5857 0.0000
Ru8 0.2500 0.1643 0.2500
Ru9 0.0000 0.9143 0.5000
Ru10 0.2500 0.8357 0.7500
Ru11 0.5000 0.4143 0.5000
Ru12 0.5000 0.9143 0.0000
Ru13 0.7500 0.1643 0.7500
Ru14 0.5000 0.5857 0.5000
Ru15 0.7500 0.8357 0.2500
Ru16 0.5000 0.0857 0.0000

---

[6]
Compound: GaRu
Source: Alexandria via LeMat-Bulk
Functional: PBE-GGA
Structure: relaxed

E_tot, eV per atom: -5.931

Cell lengths 5.0244, 5.0244, 5.0244 Å; angles 90.00, 90.00, 90.00 degrees
Last column: magnetic moment on the atom in μB.
Sites, in units of the cell vectors:
Ga1 0.5000 0.5000 0.0000  -0.01
Ga2 0.0000 0.5000 0.5000  -0.01
Ga3 0.5000 0.0000 0.5000  -0.01
Ga4 0.0000 0.0000 0.0000  -0.01
Ru1 0.5000 0.0000 0.0000  0.36
Ru2 0.0000 0.0000 0.5000  0.36
Ru3 0.5000 0.5000 0.5000  0.36
Ru4 0.0000 0.5000 0.0000  0.36

---

| no. | D(E_F) (states/eV per atom) |
| --- | --- |
| 1 | 1.667 |
| 2 | 0.676 |
| 3 | 0.918 |
| 4 | 0.602 |
| 5 | 0.935 |
| 6 | 1.522 |